{"formula": "BeSbBr2", "functional": "PBE", "state": "optimized geometry", "lattice": [[5.3364, 0.0131, 0.0000], [-1.2932, 5.1774, 0.0000], [0.0000, 0.0000, 3.5017]], "species": ["Sb", "Br", "Br", "Be"], "frac_coords": [[0.5000, 0.0000, 0.5000], [0.0000, 0.0000, 0.0000], [0.5000, 0.5000, 0.0000], [0.0000, 0.5000, 0.5000]], "e_above_lowest_polymorph_mev_per_atom": 955, "total_magnetization_mub_per_cell": 0.0, "formation_energy_uncorrected_kj_per_mol_atoms": 61.11, "crystal_system": "orthorhombic", "mass_density_g_cm3": 4.98}